A plane-wave DFT calculation with GGA-PBE was carried out for a geometry-optimized HoInCu2 structure.

The space group is P4/mmm (No. 123) and the conventional cell measures 4.606, 4.606 and 3.592 Å, with angles of 90.00, 90.00 and 90.00 degrees. The inequivalent atoms are Ho at (0.000, 0.000, 0.000), In at (0.500, 0.500, 0.000) and Cu at (0.000, 0.500, 0.500).

The volume comes out at 76 Å³ per cell. The calculation puts the spin magnetization at 0.00 μB per cell. The formation energy comes out at -51.5 kJ/mol of formula units. As for the crystal system: tetragonal. The density of states at the Fermi level comes out at 1.92 states/eV/cell. For the total energy, the calculation gives -4.01 eV per atom.



A plane-wave DFT calculation with GGA-PBE was carried out for a geometry-optimized Sc3AuO structure.

The space group is I-4m2 (No. 119) and the conventional cell measures 4.699, 4.699 and 21.426 Å, with angles of 90.00, 90.00 and 90.00 degrees. The inequivalent atoms are Sc at (0.000, 0.000, 0.192), Sc at (0.000, 0.238, 0.620), Au at (0.000, 0.000, 0.500), Au at (0.000, 0.500, 0.750) and O at (0.000, 0.500, 0.148).

The volume comes out at 473 Å³ per cell. The calculation puts the spin magnetization at 0.00 μB per cell. The formation energy from raw total energies is -15.33 kJ/mol of atoms. As for the crystal system: tetragonal. The density of states at the Fermi level comes out at 27.18 states/eV/cell. For the total energy, the calculation gives -5.60 eV per atom.



A plane-wave DFT calculation with GGA-PBE was carried out for a geometry-optimized PaCo2As structure.

The space group is R-3m (No. 166, hexagonal axes) and the conventional cell measures 3.9234, 3.9234 and 14.0400 Å, with angles of 90.00, 90.00 and 120.00 degrees. The inequivalent atoms are Pa at (0.0000, 0.0000, 0.0000), Co at (0.0000, 0.0000, 0.2174) and As at (0.0000, 0.0000, 0.5000).

The energy above the lowest structure with this stoichiometry comes out at 0.000 eV/atom. The volume comes out at 187 Å³ per cell. The calculation puts the spin magnetization at 0.00 μB per cell. The formation energy comes out at -204.6 kJ/mol of formula units. As for the crystal system: trigonal. The density of states at the Fermi level comes out at 9.34 states/eV/cell. For the total energy, the calculation gives -7.62 eV per atom.



A plane-wave DFT calculation with GGA-PBE was carried out for a geometry-optimized LaPr4Ho5 structure.

The space group is P4/mmm (No. 123) and the conventional cell measures 3.652, 3.652 and 25.250 Å, with angles of 90.00, 90.00 and 90.00 degrees. The inequivalent atoms are La at (0.000, 0.000, 0.000), Pr at (0.000, 0.000, 0.200), Pr at (0.000, 0.000, 0.400), Ho at (0.500, 0.500, 0.101), Ho at (0.500, 0.500, 0.300) and Ho at (0.500, 0.500, 0.500).

The volume comes out at 337 Å³ per cell. The calculation puts the spin magnetization at 0.00 μB per cell. The formation energy comes out at 18.8 kJ/mol of formula units. As for the crystal system: tetragonal. The density of states at the Fermi level comes out at 14.65 states/eV/cell. For the total energy, the calculation gives -4.67 eV per atom.



A plane-wave DFT calculation with GGA-PBE was carried out for a geometry-optimized Pm4Ti structure.

The space group is Pm-3m (No. 221) and the conventional cell measures 5.551, 5.551 and 5.551 Å, with angles of 90.00, 90.00 and 90.00 degrees. The inequivalent atoms are Pm at (0.000, 0.000, 0.000), Pm at (0.000, 0.500, 0.500) and Ti at (0.500, 0.500, 0.500).

The volume comes out at 171 Å³ per cell. The calculation puts the spin magnetization at 0.01 μB per cell. The formation energy comes out at 221.6 kJ/mol of formula units. As for the crystal system: cubic. The density of states at the Fermi level comes out at 7.89 states/eV/cell. For the total energy, the calculation gives -4.92 eV per atom.



A plane-wave DFT calculation with GGA-PBE was carried out for a geometry-optimized GeBBr2Cl structure.

The space group is P4/mmm (No. 123) and the conventional cell measures 5.430, 5.430 and 5.020 Å, with angles of 90.00, 90.00 and 90.00 degrees. The inequivalent atoms are Ge at (0.000, 0.000, 0.000), B at (0.500, 0.500, 0.500), Br at (0.000, 0.500, 0.000) and Cl at (0.000, 0.000, 0.500).

The volume comes out at 148 Å³ per cell. The calculation puts the spin magnetization at 0.08 μB per cell. The formation energy from raw total energies is 57.86 kJ/mol of atoms. As for the crystal system: tetragonal. The density of states at the Fermi level comes out at 1.76 states/eV/cell. For the total energy, the calculation gives -2.70 eV per atom.



A plane-wave DFT calculation with GGA-PBE was carried out for a geometry-optimized LiGdThSi structure.

The space group is F-43m (No. 216) and the conventional cell measures 7.189, 7.189 and 7.189 Å, with angles of 90.00, 90.00 and 90.00 degrees. The inequivalent atoms are Li at (0.000, 0.000, 0.000), Gd at (0.250, 0.250, 0.250), Th at (0.250, 0.250, 0.750) and Si at (0.000, 0.000, 0.500).

The volume comes out at 372 Å³ per cell. The calculation puts the spin magnetization at 29.19 μB per cell. The formation energy from raw total energies is -21.58 kJ/mol of atoms. As for the crystal system: cubic. The density of states at the Fermi level comes out at 11.50 states/eV/cell. For the total energy, the calculation gives -7.43 eV per atom.



A plane-wave DFT calculation with GGA-PBE was carried out for a geometry-optimized TiV structure.

The space group is I4/mmm (No. 139) and the conventional cell measures 9.086, 9.086 and 3.285 Å, with angles of 90.00, 90.00 and 90.00 degrees. The inequivalent atoms are Ti at (0.000, 0.321, 0.000) and V at (0.179, 0.179, 0.500).

The volume comes out at 271 Å³ per cell. The calculation puts the spin magnetization at 0.00 μB per cell. The formation energy comes out at 71.5 kJ/mol of formula units. As for the crystal system: tetragonal. The density of states at the Fermi level comes out at 23.15 states/eV/cell. For the total energy, the calculation gives -8.14 eV per atom.



A plane-wave DFT calculation with GGA-PBE was carried out for a geometry-optimized SrMgPS2 structure.

The space group is P4/mmm (No. 123) and the conventional cell measures 4.961, 4.961 and 4.773 Å, with angles of 90.00, 90.00 and 90.00 degrees. The inequivalent atoms are Sr at (0.000, 0.000, 0.000), Mg at (0.500, 0.500, 0.500), P at (0.500, 0.500, 0.000) and S at (0.000, 0.500, 0.500).

The energy above the lowest structure with this stoichiometry comes out at 0.000 eV/atom. The volume comes out at 117 Å³ per cell. The calculation puts the spin magnetization at 0.00 μB per cell. The formation energy from raw total energies is -53.76 kJ/mol of atoms. As for the crystal system: tetragonal. The density of states at the Fermi level comes out at 4.87 states/eV/cell. For the total energy, the calculation gives -3.95 eV per atom.



A plane-wave DFT calculation with GGA-PBE was carried out for a geometry-optimized Mn2GaRhSe structure.

The space group is P4/mmm (No. 123) and the conventional cell measures 4.469, 4.469 and 4.885 Å, with angles of 90.00, 90.00 and 90.00 degrees. The inequivalent atoms are Mn at (0.000, 0.500, 0.000), Ga at (0.000, 0.000, 0.500), Rh at (0.500, 0.500, 0.500) and Se at (0.000, 0.000, 0.000).

The volume comes out at 98 Å³ per cell. The calculation puts the spin magnetization at 7.69 μB per cell. The formation energy from raw total energies is 75.68 kJ/mol of atoms. As for the crystal system: tetragonal. The density of states at the Fermi level comes out at 4.47 states/eV/cell. For the total energy, the calculation gives -5.66 eV per atom.